i:
Below is a relaxed Sr2TiGeCl crystal, with properties calculated at the PBE level.

Unit cell a=6.1718 b=6.1718 c=5.1783 alpha=90.00 beta=90.00 gamma=90.00
Closest atoms and distances in Å follow each position.
Space group P4/mmm (No. 123)
One atom of each set of equivalent atoms:
1 Sr 0.0000 0.5000 0.0000  2 Ge 3.09
2 Ti 0.0000 0.0000 0.5000  8 Sr 4.03, 4 Cl 4.36
3 Ge 0.5000 0.5000 0.0000  2 Cl 2.59
4 Cl 0.5000 0.5000 0.5000  2 Ge 2.59

***

ii:
Below is a relaxed Sr2TiGeCl crystal, with properties calculated at the PBE level.

Unit cell a=6.1235 b=6.1235 c=4.9533 alpha=90.00 beta=90.00 gamma=90.00
Closest atoms and distances in Å follow each position.
Space group P4/mmm (No. 123)
One atom of each set of equivalent atoms:
1 Sr 0.0000 0.5000 0.0000  2 Ge 3.06
2 Ti 0.0000 0.0000 0.5000  2 Ge 2.48
3 Ge 0.0000 0.0000 0.0000  2 Ti 2.48
4 Cl 0.5000 0.5000 0.5000  8 Sr 3.94, 4 Ti 4.33

***

Least stable structure: i